YAlGaCu2, relaxed, DFT PBE-GGA; total magnetic moment = 0.01 μB per formula unit; symmetry = P4/nmm; calculated total energy = -4.584 eV per atom
1.0
4.091 0.000 0.000
0.000 4.091 0.000
0.000 0.000 10.304
Y Al Ga Cu
2 2 2 4
Direct
0.250 0.250 0.246 Y
0.750 0.750 0.754 Y
0.250 0.750 0.500 Al
0.750 0.250 0.500 Al
0.250 0.250 0.868 Ga
0.750 0.750 0.132 Ga
0.250 0.250 0.636 Cu
0.250 0.750 0.000 Cu
0.750 0.250 0.000 Cu
0.750 0.750 0.364 Cu